The following is a GGA-PBE calculation of a relaxed LaGaHgPd crystal, from Alexandria via LeMat-Bulk.

## Properties
M_tot ... 0.000 μB/atom
DOS(E_F) ... 1.0536 states/eV per atom
Symmetry ... No. 216
Formation enthalpy at 0 K ... -0.499 eV per atom
Theoretical density ... 9.474 g/cm³
Crystal system ... cubic

a = 7.1238 Å, b = 7.1238 Å, c = 7.1238 Å
α = 90.00°, β = 90.00°, γ = 90.00°
With the nearest neighbours (Å) after each atom.
Fractional coordinates of all 16 atoms:
1 La 0.0000 0.0000 0.0000  4 Hg 3.08, 4 Pd 3.08
2 La 0.0000 0.5000 0.5000  4 Hg 3.08, 4 Pd 3.08
3 La 0.5000 0.0000 0.5000  4 Hg 3.08, 4 Pd 3.08
4 La 0.5000 0.5000 0.0000  4 Hg 3.08, 4 Pd 3.08
5 Ga 0.0000 0.0000 0.5000  4 Hg 3.08, 4 Pd 3.08
6 Ga 0.0000 0.5000 0.0000  4 Hg 3.08, 4 Pd 3.08
7 Ga 0.5000 0.0000 0.0000  4 Hg 3.08, 4 Pd 3.08
8 Ga 0.5000 0.5000 0.5000  4 Hg 3.08, 4 Pd 3.08
9 Hg 0.2500 0.2500 0.2500  4 La 3.08, 4 Ga 3.08
10 Hg 0.2500 0.7500 0.7500  4 La 3.08, 4 Ga 3.08
11 Hg 0.7500 0.2500 0.7500  4 La 3.08, 4 Ga 3.08
12 Hg 0.7500 0.7500 0.2500  4 La 3.08, 4 Ga 3.08
13 Pd 0.2500 0.2500 0.7500  4 La 3.08, 4 Ga 3.08
14 Pd 0.2500 0.7500 0.2500  4 La 3.08, 4 Ga 3.08
15 Pd 0.7500 0.2500 0.2500  4 La 3.08, 4 Ga 3.08
16 Pd 0.7500 0.7500 0.7500  4 La 3.08, 4 Ga 3.08